Below is a crystal of Rb3GdF6 relaxed with PBEsol, with properties calculated at the SCAN level.

Output
**Formation energy from raw total energies**: -3354 meV/atom
**Mass density**: 3.7 g/cm3
**Total energy**: -17.581 eV/atom
**Magnetization**: 7.00 μB/f.u.

Cell and atoms, written as CIF:
```
data_Rb3GdF6
_space_group_name_H-M_alt 'I 4/m m m'
_space_group_IT_number 139
_space_group_name_Hall '-I 4 2'
_cell_length_a 7.080
_cell_length_b 7.080
_cell_length_c 9.565
_cell_angle_alpha 90.00
_cell_angle_beta 90.00
_cell_angle_gamma 90.00
loop_
_atom_site_label
_atom_site_fract_x
_atom_site_fract_y
_atom_site_fract_z
_atom_site_occupancy
Rb1 0.000 0.000 0.000 1
Rb2 0.000 0.500 0.250 1
Gd1 0.000 0.000 0.500 1
F1 0.000 0.000 0.267 1
F2 0.000 0.309 0.500 1
```